SbP2Rh | PBEsol | optimized geometry

a b c (Å): 4.295 3.706 4.573
angles (deg): 90.00 105.89 90.00
Positions (direct):
Sb (0.000, 0.000, 0.000)
P (0.242, 0.500, 0.659)
P (0.758, 0.500, 0.341)
Rh (0.500, 0.000, 0.500)

## Properties
The calculation puts the calculated total energy at -6.3352 eV per atom. For the uncorrected formation energy, the calculation gives -266 meV/atom.

***

SrMo3I | PBEsol | optimized geometry

a b c (Å): 4.936 4.936 4.936
angles (deg): 90.00 90.00 90.00
Positions (direct):
Sr (0.000, 0.000, 0.000)
Mo (0.000, 0.500, 0.500)
Mo (0.500, 0.000, 0.500)
Mo (0.500, 0.500, 0.000)
I (0.500, 0.500, 0.500)

## Properties
The calculation puts the calculated total energy at -6.0433 eV per atom. For the uncorrected formation energy, the calculation gives 1739 meV/atom.

***

FeAs2Ir | PBEsol | optimized geometry

a b c (Å): 5.754 8.167 2.872
angles (deg): 90.00 118.02 90.00
Positions (direct):
Fe (0.000, 0.000, 0.000)
Fe (0.500, 0.500, 0.000)
As (0.250, 0.250, 0.500)
As (0.250, 0.750, 0.500)
As (0.750, 0.250, 0.500)
As (0.750, 0.750, 0.500)
Ir (0.000, 0.500, 0.000)
Ir (0.500, 0.000, 0.000)

## Properties
The calculation puts the calculated total energy at -6.8688 eV per atom.

***

SrIn2Rh | PBEsol | optimized geometry

a b c (Å): 3.342 4.534 6.322
angles (deg): 90.00 105.43 90.00
Positions (direct):
Sr (0.000, 0.000, 0.000)
In (0.340, 0.500, 0.704)
In (0.660, 0.500, 0.296)
Rh (0.500, 0.000, 0.500)

## Properties
The calculation puts the calculated total energy at -4.1900 eV per atom.

***

MnSi2Ag | PBEsol | optimized geometry

a b c (Å): 3.897 3.897 16.313
angles (deg): 90.00 90.00 90.00
Positions (direct):
Mn (0.000, 0.000, 0.000)
Mn (0.000, 0.500, 0.250)
Mn (0.500, 0.000, 0.750)
Mn (0.500, 0.500, 0.500)
Si (0.209, 0.250, 0.125)
Si (0.250, 0.709, 0.375)
Si (0.250, 0.791, 0.875)
Si (0.291, 0.250, 0.625)
Si (0.709, 0.750, 0.625)
Si (0.750, 0.209, 0.875)
Si (0.750, 0.291, 0.375)
Si (0.791, 0.750, 0.125)
Ag (0.000, 0.000, 0.500)
Ag (0.000, 0.500, 0.750)
Ag (0.500, 0.000, 0.250)
Ag (0.500, 0.500, 0.000)

## Properties
The calculation puts the polymorph energy (0 for the lowest one) at 0.2882 eV/atom. The calculation puts the calculated total energy at -5.8699 eV per atom. For the uncorrected formation energy, the calculation gives 272 meV/atom.

***

Hf2Sb2Pb4O13 | PBEsol | optimized geometry

a b c (Å): 7.514 7.514 7.514
angles (deg): 120.00 119.86 90.12
Positions (direct):
Hf (0.249, 0.000, 0.249)
Hf (0.751, 0.000, 0.751)
Sb (0.250, 0.000, 0.751)
Sb (0.250, 0.499, 0.249)
Pb (0.255, 0.502, 0.752)
Pb (0.749, 0.001, 0.252)
Pb (0.749, 0.497, 0.748)
Pb (0.750, 0.502, 0.248)
O (0.180, 0.680, 0.500)
O (0.183, 0.077, 0.512)
O (0.183, 0.670, 0.105)
O (0.315, 0.326, 0.391)
O (0.315, 0.924, 0.988)
O (0.318, 0.318, 0.000)
O (0.565, 0.077, 0.895)
O (0.565, 0.670, 0.488)
O (0.581, 0.081, 0.500)
O (0.879, 0.379, 0.500)
O (0.925, 0.925, 0.000)
O (0.936, 0.326, 0.012)
O (0.936, 0.924, 0.609)

## Properties
The calculation puts the calculated total energy at -7.4505 eV per atom. For the uncorrected formation energy, the calculation gives -2005 meV/atom.

***

ScHgPCl2 | PBEsol | optimized geometry

a b c (Å): 4.970 4.970 5.103
angles (deg): 90.00 90.00 90.00
Positions (direct):
Sc (0.000, 0.000, 0.000)
Hg (0.500, 0.500, 0.500)
P (0.500, 0.500, 0.000)
Cl (0.000, 0.500, 0.500)
Cl (0.500, 0.000, 0.500)

## Properties
The calculation puts the calculated total energy at -3.2628 eV per atom. For the uncorrected formation energy, the calculation gives 133 meV/atom.

***

Li7VAs4 | PBEsol | optimized geometry

a b c (Å): 7.248 7.248 11.855
angles (deg): 114.16 114.16 48.75
Positions (direct):
Li (0.013, 0.468, 0.122)
Li (0.024, 0.476, 0.377)
Li (0.240, 0.760, 0.750)
Li (0.249, 0.748, 0.992)
Li (0.252, 0.751, 0.508)
Li (0.468, 0.013, 0.622)
Li (0.476, 0.024, 0.877)
Li (0.524, 0.976, 0.123)
Li (0.532, 0.987, 0.378)
Li (0.748, 0.249, 0.492)
Li (0.751, 0.252, 0.008)
Li (0.760, 0.240, 0.250)
Li (0.976, 0.524, 0.623)
Li (0.987, 0.532, 0.878)
V (0.260, 0.740, 0.250)
V (0.740, 0.260, 0.750)
As (0.080, 0.155, 0.694)
As (0.155, 0.080, 0.194)
As (0.366, 0.400, 0.076)
As (0.400, 0.366, 0.576)
As (0.600, 0.634, 0.424)
As (0.634, 0.600, 0.924)
As (0.845, 0.920, 0.806)
As (0.920, 0.845, 0.306)

## Properties
The calculation puts the calculated total energy at -4.2858 eV per atom.

***

Pb2WCl | PBEsol | optimized geometry

a b c (Å): 7.059 7.059 7.059
angles (deg): 90.00 90.00 90.00
Positions (direct):
Pb (0.000, 0.000, 0.000)
Pb (0.000, 0.500, 0.500)
Pb (0.250, 0.250, 0.250)
Pb (0.250, 0.750, 0.750)
Pb (0.500, 0.000, 0.500)
Pb (0.500, 0.500, 0.000)
Pb (0.750, 0.250, 0.750)
Pb (0.750, 0.750, 0.250)
W (0.250, 0.250, 0.750)
W (0.250, 0.750, 0.250)
W (0.750, 0.250, 0.250)
W (0.750, 0.750, 0.750)
Cl (0.000, 0.000, 0.500)
Cl (0.000, 0.500, 0.000)
Cl (0.500, 0.000, 0.000)
Cl (0.500, 0.500, 0.500)

## Properties
The calculation puts the polymorph energy (0 for the lowest one) at 0.0911 eV/atom. The calculation puts the calculated total energy at -4.9552 eV per atom. For the uncorrected formation energy, the calculation gives 998 meV/atom.

***

SrS2O2 | PBEsol | optimized geometry

a b c (Å): 4.402 4.402 7.630
angles (deg): 90.00 90.00 90.00
Positions (direct):
Sr (0.000, 0.000, 0.000)
Sr (0.500, 0.500, 0.500)
S (0.000, 0.000, 0.379)
S (0.000, 0.000, 0.621)
S (0.500, 0.500, 0.121)
S (0.500, 0.500, 0.879)
O (0.000, 0.500, 0.250)
O (0.000, 0.500, 0.750)
O (0.500, 0.000, 0.250)
O (0.500, 0.000, 0.750)

## Properties
The calculation puts the calculated total energy at -4.8092 eV per atom. For the uncorrected formation energy, the calculation gives -588 meV/atom.

***

LaZn3Ni2 | PBEsol | optimized geometry

a b c (Å): 5.212 5.212 4.015
angles (deg): 90.00 90.00 120.00
Positions (direct):
La (0.000, 0.000, 0.000)
Zn (0.000, 0.500, 0.500)
Zn (0.500, 0.000, 0.500)
Zn (0.500, 0.500, 0.500)
Ni (0.333, 0.667, 0.000)
Ni (0.667, 0.333, 0.000)

## Properties
The calculation puts the calculated total energy at -4.0939 eV per atom.

***

FeCoTe | PBEsol | optimized geometry

a b c (Å): 3.684 3.684 3.956
angles (deg): 90.00 90.00 120.00
Positions (direct):
Fe (0.000, 0.000, 0.000)
Co (0.667, 0.333, 0.199)
Te (0.333, 0.667, 0.558)

## Properties
The calculation puts the polymorph energy (0 for the lowest one) at 0.0764 eV/atom. The calculation puts the calculated total energy at -6.3536 eV per atom. For the uncorrected formation energy, the calculation gives 389 meV/atom.